Entry 1:
# PBE MgSnAs2F, optimized geometry
# Calculated volume (Å³ per atom): 26.44
# Formation energy (no corrections) (meV/atom): 224
data_MgSnAs2F
_chemical_formula_sum 'Mg1 Sn1 As2 F1'
_cell_length_a 4.783
_cell_length_b 4.783
_cell_length_c 5.778
_cell_angle_alpha 90.00
_cell_angle_beta 90.00
_cell_angle_gamma 90.00
_symmetry_space_group_name_H-M 'P 4/m m m'
_symmetry_Int_Tables_number 123
_symmetry_space_group_name_Hall '-P 4 2'
loop_
_atom_site_label
_atom_site_type_symbol
_atom_site_fract_x
_atom_site_fract_y
_atom_site_fract_z
Mg1 Mg 0.000 0.000 0.000
Sn1 Sn 0.000 0.000 0.500
As1 As 0.000 0.500 0.000
F1 F 0.500 0.500 0.500

=====

Entry 2:
# PBE ScCrAu3, optimized geometry
# Calculated volume (Å³ per atom): 26.18
# Energy above the lowest structure with this stoichiometry (eV per atom): 0.092
data_ScCrAu3
_chemical_formula_sum 'Sc1 Cr1 Au3'
_cell_length_a 5.077
_cell_length_b 5.077
_cell_length_c 5.077
_cell_angle_alpha 90.00
_cell_angle_beta 90.00
_cell_angle_gamma 90.00
_symmetry_space_group_name_H-M 'P m -3 m'
_symmetry_Int_Tables_number 221
_symmetry_space_group_name_Hall '-P 4 2 3'
loop_
_atom_site_label
_atom_site_type_symbol
_atom_site_fract_x
_atom_site_fract_y
_atom_site_fract_z
Sc1 Sc 0.000 0.000 0.000
Cr1 Cr 0.500 0.500 0.500
Au1 Au 0.000 0.000 0.500

=====

Entry 3:
# PBE Ba3Nb2CdO8, optimized geometry
# Calculated volume (Å³ per atom): 21.99
# Formation energy (no corrections) (meV/atom): -2441
data_Ba3Nb2CdO8
_chemical_formula_sum 'Ba3 Nb2 Cd1 O8'
_cell_length_a 6.0344
_cell_length_b 6.0344
_cell_length_c 9.7617
_cell_angle_alpha 90.00
_cell_angle_beta 90.00
_cell_angle_gamma 120.00
_symmetry_space_group_name_H-M 'P -3 m 1'
_symmetry_Int_Tables_number 164
_symmetry_space_group_name_Hall '-P 3 2"'
loop_
_atom_site_label
_atom_site_type_symbol
_atom_site_fract_x
_atom_site_fract_y
_atom_site_fract_z
Ba1 Ba 0.0000 0.0000 0.0000
Ba2 Ba 0.3333 0.6667 0.7149
Nb1 Nb 0.3333 0.6667 0.1595
Cd1 Cd 0.0000 0.0000 0.5000
O1 O 0.1670 0.3339 0.2283
O2 O 0.3333 0.6667 0.9650

=====

Entry 4:
# PBE NaPuPb2Se4, optimized geometry
# Calculated volume (Å³ per atom): 28.16
# Formation energy (no corrections) (meV/atom): -936
data_NaPuPb2Se4
_chemical_formula_sum 'Na1 Pu1 Pb2 Se4'
_cell_length_a 7.379
_cell_length_b 4.301
_cell_length_c 7.496
_cell_angle_alpha 90.00
_cell_angle_beta 108.76
_cell_angle_gamma 90.00
_symmetry_space_group_name_H-M 'P 1 2/m 1'
_symmetry_Int_Tables_number 10
loop_
_symmetry_equiv_pos_as_xyz
'x,y,z'
'-x,-y,-z'
'-x,y,-z'
'x,-y,z'
loop_
_atom_site_label
_atom_site_type_symbol
_atom_site_fract_x
_atom_site_fract_y
_atom_site_fract_z
Na1 Na 0.000 0.000 0.000
Pu1 Pu 0.500 0.500 0.000
Pb1 Pb 0.000 0.500 0.500
Pb2 Pb 0.500 0.000 0.500
Se1 Se 0.256 0.500 0.238
Se2 Se 0.264 0.000 0.770

=====

Entry 5:
# PBE Pm2NdSb, optimized geometry
# Calculated volume (Å³ per atom): 29.68
# Formation energy (no corrections) (meV/atom): -319
# Energy above the lowest structure with this stoichiometry (eV per atom): 0.254
data_Pm2NdSb
_chemical_formula_sum 'Pm8 Nd4 Sb4'
_cell_length_a 7.802
_cell_length_b 7.802
_cell_length_c 7.802
_cell_angle_alpha 90.00
_cell_angle_beta 90.00
_cell_angle_gamma 90.00
_symmetry_space_group_name_H-M 'F m -3 m'
_symmetry_Int_Tables_number 225
_symmetry_space_group_name_Hall '-F 4 2 3'
loop_
_atom_site_label
_atom_site_type_symbol
_atom_site_fract_x
_atom_site_fract_y
_atom_site_fract_z
Pm1 Pm 0.250 0.250 0.250
Nd1 Nd 0.000 0.000 0.000
Sb1 Sb 0.000 0.000 0.500

=====

Entry 6:
# PBE NaCa2NiHg, optimized geometry
# Calculated volume (Å³ per atom): 29.59
# Total DFT energy (no corrections) (eV/f.u.): -12.0
data_NaCa2NiHg
_chemical_formula_sum 'Na1 Ca2 Ni1 Hg1'
_cell_length_a 5.397
_cell_length_b 5.397
_cell_length_c 5.080
_cell_angle_alpha 90.00
_cell_angle_beta 90.00
_cell_angle_gamma 90.00
_symmetry_space_group_name_H-M 'P 4/m m m'
_symmetry_Int_Tables_number 123
_symmetry_space_group_name_Hall '-P 4 2'
loop_
_atom_site_label
_atom_site_type_symbol
_atom_site_fract_x
_atom_site_fract_y
_atom_site_fract_z
Na1 Na 0.000 0.000 0.000
Ca1 Ca 0.000 0.500 0.500
Ni1 Ni 0.500 0.500 0.500
Hg1 Hg 0.500 0.500 0.000

=====

Entry 7:
# PBE CaAs2IrRh, optimized geometry
# Calculated volume (Å³ per atom): 19.23
# Total DFT energy (no corrections) (eV/f.u.): -30.8
data_CaAs2IrRh
_chemical_formula_sum 'Ca2 As4 Ir2 Rh2'
_cell_length_a 4.063
_cell_length_b 4.063
_cell_length_c 11.650
_cell_angle_alpha 90.00
_cell_angle_beta 90.00
_cell_angle_gamma 90.00
_symmetry_space_group_name_H-M 'I -4 m 2'
_symmetry_Int_Tables_number 119
_symmetry_space_group_name_Hall 'I -4 -2'
loop_
_atom_site_label
_atom_site_type_symbol
_atom_site_fract_x
_atom_site_fract_y
_atom_site_fract_z
Ca1 Ca 0.000 0.000 0.000
As1 As 0.000 0.000 0.372
Ir1 Ir 0.000 0.500 0.750
Rh1 Rh 0.000 0.500 0.250

=====

Entry 8:
# PBE BiAuS2, optimized geometry
# Calculated volume (Å³ per atom): 23.61
# Formation energy (no corrections) (meV/atom): -132
data_BiAuS2
_chemical_formula_sum 'Bi4 Au4 S8'
_cell_length_a 7.905
_cell_length_b 3.921
_cell_length_c 12.186
_cell_angle_alpha 90.00
_cell_angle_beta 90.00
_cell_angle_gamma 90.00
_symmetry_space_group_name_H-M 'P n m a'
_symmetry_Int_Tables_number 62
loop_
_symmetry_equiv_pos_as_xyz
'x,y,z'
'-x,-y,-z'
'-x+1/2,-y,z+1/2'
'x+1/2,y,-z+1/2'
'x+1/2,-y+1/2,-z+1/2'
'-x+1/2,y+1/2,z+1/2'
'-x,y+1/2,-z'
'x,-y+1/2,z'
loop_
_atom_site_label
_atom_site_type_symbol
_atom_site_fract_x
_atom_site_fract_y
_atom_site_fract_z
Bi1 Bi 0.072 0.250 0.153
Au1 Au 0.117 0.750 0.418
S1 S 0.083 0.250 0.726
S2 S 0.192 0.750 0.983

=====

Entry 9:
# PBE RuWS2Cl, optimized geometry
# Calculated volume (Å³ per atom): 21.09
# Formation energy (no corrections) (meV/atom): 786
# Energy above the lowest structure with this stoichiometry (eV per atom): 0.000
data_RuWS2Cl
_chemical_formula_sum 'Ru1 W1 S2 Cl1'
_cell_length_a 4.663
_cell_length_b 4.663
_cell_length_c 4.850
_cell_angle_alpha 90.00
_cell_angle_beta 90.00
_cell_angle_gamma 90.00
_symmetry_space_group_name_H-M 'P 4/m m m'
_symmetry_Int_Tables_number 123
_symmetry_space_group_name_Hall '-P 4 2'
loop_
_atom_site_label
_atom_site_type_symbol
_atom_site_fract_x
_atom_site_fract_y
_atom_site_fract_z
Ru1 Ru 0.000 0.000 0.000
W1 W 0.500 0.500 0.500
S1 S 0.000 0.500 0.500
Cl1 Cl 0.500 0.500 0.000

=====

Entry 10:
# PBE Ta2NbNi, optimized geometry
# Calculated volume (Å³ per atom): 17.75
# Total DFT energy (no corrections) (eV/f.u.): -37.3
data_Ta2NbNi
_chemical_formula_sum 'Ta8 Nb4 Ni4'
_cell_length_a 3.826
_cell_length_b 3.826
_cell_length_c 19.405
_cell_angle_alpha 90.00
_cell_angle_beta 90.00
_cell_angle_gamma 90.00
_symmetry_space_group_name_H-M 'I -4 2 d'
_symmetry_Int_Tables_number 122
_symmetry_space_group_name_Hall 'I -4 2bw'
loop_
_atom_site_label
_atom_site_type_symbol
_atom_site_fract_x
_atom_site_fract_y
_atom_site_fract_z
Ta1 Ta 0.250 0.250 0.125
Nb1 Nb 0.000 0.000 0.000
Ni1 Ni 0.000 0.000 0.500

=====

Entry 11:
# PBE SrRhN2, optimized geometry
# Calculated volume (Å³ per atom): 12.70
# Formation energy (no corrections) (meV/atom): 740
# Energy above the lowest structure with this stoichiometry (eV per atom): 0.802
data_SrRhN2
_chemical_formula_sum 'Sr4 Rh4 N8'
_cell_length_a 5.879
_cell_length_b 5.879
_cell_length_c 5.879
_cell_angle_alpha 90.00
_cell_angle_beta 90.00
_cell_angle_gamma 90.00
_symmetry_space_group_name_H-M 'F m -3 m'
_symmetry_Int_Tables_number 225
_symmetry_space_group_name_Hall '-F 4 2 3'
loop_
_atom_site_label
_atom_site_type_symbol
_atom_site_fract_x
_atom_site_fract_y
_atom_site_fract_z
Sr1 Sr 0.000 0.000 0.000
Rh1 Rh 0.000 0.000 0.500
N1 N 0.250 0.250 0.250

=====

Entry 12:
# PBE GaCu2Pd2, optimized geometry
# Calculated volume (Å³ per atom): 14.60
# Energy above the lowest structure with this stoichiometry (eV per atom): 0.000
data_GaCu2Pd2
_chemical_formula_sum 'Ga4 Cu8 Pd8'
_cell_length_a 4.297
_cell_length_b 5.571
_cell_length_c 12.197
_cell_angle_alpha 90.00
_cell_angle_beta 90.00
_cell_angle_gamma 90.00
_symmetry_space_group_name_H-M 'I m m a'
_symmetry_Int_Tables_number 74
_symmetry_space_group_name_Hall '-I 2b 2'
loop_
_atom_site_label
_atom_site_type_symbol
_atom_site_fract_x
_atom_site_fract_y
_atom_site_fract_z
Ga1 Ga 0.000 0.250 0.124
Cu1 Cu 0.000 0.250 0.501
Cu2 Cu 0.000 0.250 0.882
Pd1 Pd 0.000 0.001 0.679